No. 1
CdTeSe: relaxed, PBE-GGA.

Computed properties:
The formation energy (no corrections) is -0.8 eV per formula unit. As for the polymorph energy (0 for the lowest one): 0.052 eV per atom.

```
data_CdTeSe
_chemical_formula_sum 'Cd2 Te2 Se2'
_cell_length_a 4.1968
_cell_length_b 7.0202
_cell_length_c 7.9282
_cell_angle_alpha 108.37
_cell_angle_beta 105.28
_cell_angle_gamma 90.15
_space_group_name_H-M_alt 'P 1'
_space_group_IT_number 1
loop_
_space_group_symop_operation_xyz
'x,y,z'
loop_
_atom_site_label
_atom_site_fract_x
_atom_site_fract_y
_atom_site_fract_z
Cd1 0.0000 0.0000 0.0000
Cd2 0.4688 0.4638 0.9464
Te1 0.2863 0.1343 0.5878
Te2 0.7002 0.2911 0.4133
Se1 0.0678 0.3962 0.1461
Se2 0.4235 0.7896 0.8487
```

No. 2
Pr6Nd3Ho2Er: relaxed, PBE-GGA.

Computed properties:
Its formation energy is 0.0147 eV/atom.

```
data_Pr6Nd3Ho2Er
_chemical_formula_sum 'Pr12 Nd6 Ho4 Er2'
_cell_length_a 6.3521
_cell_length_b 11.0119
_cell_length_c 12.0381
_cell_angle_alpha 90.00
_cell_angle_beta 100.15
_cell_angle_gamma 90.00
_space_group_name_H-M_alt 'C 1 2/m 1'
_space_group_IT_number 12
loop_
_space_group_symop_operation_xyz
'x,y,z'
'-x,-y,-z'
'-x,y,-z'
'x,-y,z'
'x+1/2,y+1/2,z'
'-x+1/2,-y+1/2,-z'
'-x+1/2,y+1/2,-z'
'x+1/2,-y+1/2,z'
loop_
_atom_site_label
_atom_site_fract_x
_atom_site_fract_y
_atom_site_fract_z
Pr1 0.2491 0.0000 0.2452
Pr2 0.2489 0.3334 0.2452
Nd1 0.0000 0.0000 0.5000
Nd2 0.0000 0.3334 0.5000
Ho1 0.0000 0.1667 0.0000
Er1 0.0000 0.5000 0.0000
```